Run P
# TcWCl

A crystal of TcWCl relaxed with PBEsol (meta-GGA SCAN, the Alexandria database).

POSCAR file:
```
TcWCl
1.0
2.900 0.000 0.000
0.000 4.143 0.000
0.000 -2.071 3.588
Cl W Tc
1 1 1
direct
0.036 0.000 0.000
0.217 0.667 0.333
0.747 0.333 0.667
```

Run Q
# TcWCl

A crystal of TcWCl relaxed with PBEsol (meta-GGA SCAN, the Alexandria database).

POSCAR file:
```
TcWCl
1.0
2.872 0.000 0.000
0.000 4.042 0.000
-1.436 -2.021 3.814
Cl W Tc
1 1 1
direct
0.996 0.996 0.992
0.671 0.671 0.343
0.333 0.333 0.665
```

Relative energies in eV/atom: run P 0.000; run Q 0.245